Entry 1:
First-principles (PBE) data for a relaxed Ac2AlZn crystal, as listed in Alexandria.

Cell: 3.8697 3.8697 34.4323 Å, 90.00 90.00 120.00°
Last column: nearest neighbours and their distance in Å.
Space group R-3m (No. 166, hexagonal axes)
Asymmetric unit:
Ac (0.0000, 0.0000, 0.0977) (multiplicity 6)  3 Al 3.26, 1 Zn 3.36
Al (0.0000, 0.0000, 0.5000) (multiplicity 3)  6 Ac 3.26
Zn (0.0000, 0.0000, 0.0000) (multiplicity 3)  2 Ac 3.36

The size of the total moment comes out at 0.00 μB/f.u. As for the raw total energy: -36.5 eV per cell. Its crystal system is trigonal. The density of states at the Fermi level comes out at 4.2 states/eV/f.u. For the density, the calculation gives 6.1 g cm⁻³.


Entry 2:
First-principles (PBE) data for a relaxed Ca3HgB crystal, as listed in Alexandria.

Cell: 5.2803 5.2803 5.2803 Å, 90.00 90.00 90.00°
Last column: nearest neighbours and their distance in Å.
Space group Pm-3m (No. 221)
Asymmetric unit:
Ca (0.0000, 0.0000, 0.5000) (multiplicity 3)  2 B 2.64
Hg (0.5000, 0.5000, 0.5000) (multiplicity 1)  12 Ca 3.73
B (0.0000, 0.0000, 0.0000) (multiplicity 1)  6 Ca 2.64

The size of the total moment comes out at 1.21 μB/f.u. As for the raw total energy: -12.6 eV per cell. Its crystal system is cubic. The density of states at the Fermi level comes out at 4.2 states/eV/f.u. For the density, the calculation gives 3.7 g cm⁻³.


Entry 3:
First-principles (PBE) data for a relaxed Ca3Cd2In4 crystal, as listed in Alexandria.

Cell: 11.3676 5.0274 9.4617 Å, 90.00 116.23 90.00°
Last column: nearest neighbours and their distance in Å.
Space group C2/m (No. 12)
Asymmetric unit:
Ca (0.0000, 0.0000, 0.0000) (multiplicity 2)  8 In 3.30-3.58, 4 Cd 3.45
Ca (0.1690, 0.5000, 0.6597) (multiplicity 4)  8 In 3.34-3.68, 4 Cd 3.37-3.47, 2 Ca 3.69-3.72
Cd (0.1096, 0.5000, 0.2780) (multiplicity 4)  3 In 2.89-2.91
In (0.0376, 0.0000, 0.3700) (multiplicity 4)  2 Cd 2.89, 2 In 2.94-3.23
In (0.2461, 0.5000, 0.0809) (multiplicity 4)  1 Cd 2.91, 3 In 2.96-3.23

The size of the total moment comes out at 0.00 μB/f.u. As for the raw total energy: -44.9 eV per cell. Its crystal system is monoclinic. The density of states at the Fermi level comes out at 3.8 states/eV/f.u. For the density, the calculation gives 5.5 g cm⁻³.


Entry 4:
First-principles (PBE) data for a relaxed Nb2Cr2Se crystal, as listed in Alexandria.

Cell: 6.9407 6.9407 3.3336 Å, 90.00 90.00 90.00°
Last column: nearest neighbours and their distance in Å.
Space group P4/mbm (No. 127)
Asymmetric unit:
Nb (0.1885, 0.3115, 0.0000) (multiplicity 4)  6 Cr 2.63-2.69
Cr (0.1038, 0.6038, 0.5000) (multiplicity 4)  1 Cr 2.04
Se (0.0000, 0.0000, 0.5000) (multiplicity 2)  4 Cr 2.84, 8 Nb 3.03

The size of the total moment comes out at 0.00 μB/f.u. Its formation energy without anion corrections is 0.3556 eV per atom. Its crystal system is tetragonal. The density of states at the Fermi level comes out at 4.1 states/eV/f.u. For the density, the calculation gives 7.6 g cm⁻³.